A relaxed ErSnPt crystal. Source: Alexandria, functional GGA-PBEsol.

abc: 3.9349 7.3795 7.3795
angles: 120.00 90.00 90.00
Closest atoms and distances in Å follow each position.
Sites, in units of the cell vectors:
Sn: 0.5000 0.7398 0.0000  4 Pt 2.75-2.77
Sn: 0.5000 0.2602 0.2602  4 Pt 2.75-2.77
Sn: 0.5000 0.0000 0.7398  4 Pt 2.75-2.77
Er: 0.0000 0.4053 0.0000  5 Pt 2.98-2.99, 6 Sn 3.16-3.28
Er: 0.0000 0.0000 0.4053  5 Pt 2.98-2.99, 6 Sn 3.16-3.28
Er: 0.0000 0.5947 0.5947  5 Pt 2.98-2.99, 6 Sn 3.16-3.28
Pt: 0.5000 0.6667 0.3333  3 Sn 2.77, 6 Er 2.98
Pt: 0.5000 0.3333 0.6667  3 Sn 2.77, 6 Er 2.98
Pt: 0.0000 0.0000 0.0000  6 Sn 2.75, 3 Er 2.99

Properties
Formation energy from the elements, meV/atom: -1124
V, Å³ per cell: 185.57
Electronic total energy, eV/atom: -6.51
D(E_F), states/eV/f.u.: 1.0
Space group: No. 189

***

A relaxed Er7Te2Pt2 crystal. Source: Alexandria, functional GGA-PBEsol.

abc: 3.8715 9.2046 9.2046
angles: 61.31 77.86 77.86
Closest atoms and distances in Å follow each position.
Sites, in units of the cell vectors:
Pt: 0.7627 0.3107 0.1639  7 Er 2.81-3.08
Pt: 0.2373 0.8361 0.6893  7 Er 2.81-3.08
Er: 0.8701 0.7140 0.5458  2 Pt 2.81, 3 Te 3.05-3.13
Er: 0.6440 0.0899 0.6222  2 Pt 2.84, 2 Te 3.10
Er: 0.3560 0.3778 0.9101  2 Pt 2.84, 2 Te 3.10
Er: 0.3166 0.0583 0.3084  3 Pt 2.81-3.08, 1 Te 3.10
Er: 0.0000 0.0012 0.9988  3 Te 3.14-3.16
Er: 0.6834 0.6916 0.9417  3 Pt 2.81-3.08, 1 Te 3.10
Er: 0.1299 0.4542 0.2860  2 Pt 2.81, 3 Te 3.05-3.13
Te: 0.0000 0.3378 0.6622  7 Er 3.05-3.16
Te: 0.5000 0.7376 0.2624  8 Er 3.10-3.14

Properties
V, Å³ per cell: 279.02
Electronic total energy, eV/atom: -6.07
D(E_F), states/eV/f.u.: 8.4
Formation energy (no corrections), eV/atom: -1.03
Space group: No. 44